<1>
Crystalline AsPtSN2 at its relaxed geometry, computed with PBE-GGA.

Computed properties:
Total magnetic moment (μB/cell): 0.0
Crystal system: tetragonal
Space-group type: P4/mmm, No. 123

Cell lengths 3.5385, 3.5385, 6.4834 Å; angles 90.00, 90.00, 90.00 degrees
Element x y z (fractional)
As 0.0000 0.0000 0.0000
Pt 0.0000 0.0000 0.5000
S 0.5000 0.5000 0.5000
N 0.0000 0.5000 0.0000
N 0.5000 0.0000 0.0000

=====

<2>
Crystalline AsPtSN2 at its relaxed geometry, computed with PBE-GGA.

Computed properties:
Total magnetic moment (μB/cell): 0.4
Crystal system: tetragonal
Space-group type: P4/mmm, No. 123

Cell lengths 3.7026, 3.7026, 8.6416 Å; angles 90.00, 90.00, 90.00 degrees
Element x y z (fractional)
As 0.0000 0.0000 0.0000
Pt 0.5000 0.5000 0.5000
S 0.5000 0.5000 0.0000
N 0.0000 0.5000 0.5000
N 0.5000 0.0000 0.5000

=====

Winner for stability: <2>

=====

<1>
Crystalline As2PtSeN at its relaxed geometry, computed with PBE-GGA.

Computed properties:
Total magnetic moment (μB/cell): 0.1
Crystal system: tetragonal
Space-group type: P4/mmm, No. 123

Cell lengths 4.8086, 4.8086, 5.1205 Å; angles 90.00, 90.00, 90.00 degrees
Element x y z (fractional)
As 0.0000 0.5000 0.0000
As 0.5000 0.0000 0.0000
Pt 0.0000 0.0000 0.0000
Se 0.0000 0.0000 0.5000
N 0.5000 0.5000 0.5000

=====

<2>
Crystalline As2PtSeN at its relaxed geometry, computed with PBE-GGA.

Computed properties:
Total magnetic moment (μB/cell): 0.0
Crystal system: tetragonal
Space-group type: P4/mmm, No. 123

Cell lengths 4.3625, 4.3625, 4.2024 Å; angles 90.00, 90.00, 90.00 degrees
Element x y z (fractional)
As 0.0000 0.5000 0.0000
As 0.5000 0.0000 0.0000
Pt 0.0000 0.0000 0.5000
Se 0.5000 0.5000 0.5000
N 0.5000 0.5000 0.0000

=====

Winner for stability: <2>